Entry 1:
Density functional theory data (SCAN) for a crystal of RbSr3Hg relaxed with PBEsol.

abc: 6.3714 6.3714 6.3714
angles: 90.00 90.00 90.00
Sites, in units of the cell vectors:
Rb (0.0000, 0.0000, 0.0000)
Sr (0.0000, 0.5000, 0.5000)
Sr (0.5000, 0.0000, 0.5000)
Sr (0.5000, 0.5000, 0.0000)
Hg (0.5000, 0.5000, 0.5000)

Results
For the formation energy, the calculation gives -22.4 kJ per mole of atoms. The calculated volume comes out at 259 Å³ per cell. For the energy above the most stable polymorph in this dataset, the calculation gives 0 meV per atom. The magnetic moment is 0.0 μB per formula unit.

Entry 2:
Density functional theory data (SCAN) for a crystal of ReTc relaxed with PBEsol.

abc: 9.0295 2.7275 4.7285
angles: 90.00 99.98 90.00
Sites, in units of the cell vectors:
Re (0.1246, 0.0000, 0.3723)
Re (0.3754, 0.5000, 0.6277)
Re (0.6246, 0.5000, 0.3723)
Re (0.8754, 0.0000, 0.6277)
Tc (0.1251, 0.5000, 0.8771)
Tc (0.3749, 0.0000, 0.1229)
Tc (0.6251, 0.0000, 0.8771)
Tc (0.8749, 0.5000, 0.1229)

Results
For the formation energy, the calculation gives 3.9 kJ per mole of atoms. The calculated volume comes out at 115 Å³ per cell. For the energy above the most stable polymorph in this dataset, the calculation gives 54 meV per atom. The magnetic moment is 0.0 μB per formula unit.

Entry 3:
Density functional theory data (SCAN) for a crystal of La3HgN relaxed with PBEsol.

abc: 5.0321 5.0321 5.0321
angles: 90.00 90.00 90.00
Sites, in units of the cell vectors:
La (0.0000, 0.0000, 0.5000)
La (0.0000, 0.5000, 0.0000)
La (0.5000, 0.0000, 0.0000)
Hg (0.5000, 0.5000, 0.5000)
N (0.0000, 0.0000, 0.0000)

Results
The calculated volume comes out at 127 Å³ per cell. The formation energy from raw total energies is -1.00 eV/atom. The magnetic moment is 0.0 μB per formula unit.

Entry 4:
Density functional theory data (SCAN) for a crystal of BaNa2Nd2Si4CO15 relaxed with PBEsol.

abc: 14.0399 13.4757 6.9736
angles: 90.00 90.00 90.00
Sites, in units of the cell vectors:
Ba (0.1409, 0.2500, 0.0910)
Ba (0.3591, 0.7500, 0.5910)
Ba (0.6409, 0.2500, 0.4090)
Ba (0.8591, 0.7500, 0.9090)
Na (0.0295, 0.0374, 0.2342)
Na (0.0295, 0.4626, 0.2342)
Na (0.4705, 0.5374, 0.7342)
Na (0.4705, 0.9626, 0.7342)
Na (0.5295, 0.0374, 0.2658)
Na (0.5295, 0.4626, 0.2658)
Na (0.9705, 0.5374, 0.7658)
Na (0.9705, 0.9626, 0.7658)
Nd (0.2129, 0.5571, 0.8802)
Nd (0.2129, 0.9429, 0.8802)
Nd (0.2871, 0.0571, 0.3802)
Nd (0.2871, 0.4429, 0.3802)
Nd (0.7129, 0.5571, 0.6198)
Nd (0.7129, 0.9429, 0.6198)
Nd (0.7871, 0.0571, 0.1198)
Nd (0.7871, 0.4429, 0.1198)
Si (0.0743, 0.1370, 0.6181)
Si (0.0743, 0.3630, 0.6181)
Si (0.1502, 0.6330, 0.3816)
Si (0.1502, 0.8670, 0.3816)
Si (0.3498, 0.1330, 0.8816)
Si (0.3498, 0.3670, 0.8816)
Si (0.4257, 0.6370, 0.1181)
Si (0.4257, 0.8630, 0.1181)
Si (0.5743, 0.1370, 0.8819)
Si (0.5743, 0.3630, 0.8819)
Si (0.6502, 0.6330, 0.1184)
Si (0.6502, 0.8670, 0.1184)
Si (0.8498, 0.1330, 0.6184)
Si (0.8498, 0.3670, 0.6184)
Si (0.9257, 0.6370, 0.3819)
Si (0.9257, 0.8630, 0.3819)
C (0.1003, 0.7500, 0.8775)
C (0.3997, 0.2500, 0.3775)
C (0.6003, 0.7500, 0.6225)
C (0.8997, 0.2500, 0.1225)
O (0.0385, 0.6167, 0.4465)
O (0.0385, 0.8833, 0.4465)
O (0.0558, 0.6662, 0.8848)
O (0.0558, 0.8338, 0.8848)
O (0.0809, 0.2500, 0.7094)
O (0.1006, 0.0634, 0.7935)
O (0.1006, 0.4366, 0.7935)
O (0.1340, 0.1262, 0.4210)
O (0.1340, 0.3738, 0.4210)
O (0.1690, 0.7500, 0.3287)
O (0.1727, 0.5594, 0.2036)
O (0.1727, 0.9406, 0.2036)
O (0.1929, 0.7500, 0.8650)
O (0.2233, 0.6000, 0.5509)
O (0.2233, 0.9000, 0.5509)
O (0.2767, 0.1000, 0.0509)
O (0.2767, 0.4000, 0.0509)
O (0.3071, 0.2500, 0.3650)
O (0.3273, 0.0594, 0.7036)
O (0.3273, 0.4406, 0.7036)
O (0.3310, 0.2500, 0.8287)
O (0.3660, 0.6262, 0.9210)
O (0.3660, 0.8738, 0.9210)
O (0.3994, 0.5634, 0.2935)
O (0.3994, 0.9366, 0.2935)
O (0.4191, 0.7500, 0.2094)
O (0.4442, 0.1662, 0.3848)
O (0.4442, 0.3338, 0.3848)
O (0.4615, 0.1167, 0.9465)
O (0.4615, 0.3833, 0.9465)
O (0.5385, 0.6167, 0.0535)
O (0.5385, 0.8833, 0.0535)
O (0.5558, 0.6662, 0.6152)
O (0.5558, 0.8338, 0.6152)
O (0.5809, 0.2500, 0.7906)
O (0.6006, 0.0634, 0.7065)
O (0.6006, 0.4366, 0.7065)
O (0.6340, 0.1262, 0.0790)
O (0.6340, 0.3738, 0.0790)
O (0.6690, 0.7500, 0.1713)
O (0.6727, 0.5594, 0.2964)
O (0.6727, 0.9406, 0.2964)
O (0.6929, 0.7500, 0.6350)
O (0.7233, 0.6000, 0.9491)
O (0.7233, 0.9000, 0.9491)
O (0.7767, 0.1000, 0.4491)
O (0.7767, 0.4000, 0.4491)
O (0.8071, 0.2500, 0.1350)
O (0.8273, 0.0594, 0.7964)
O (0.8273, 0.4406, 0.7964)
O (0.8310, 0.2500, 0.6713)
O (0.8660, 0.6262, 0.5790)
O (0.8660, 0.8738, 0.5790)
O (0.8994, 0.5634, 0.2065)
O (0.8994, 0.9366, 0.2065)
O (0.9191, 0.7500, 0.2906)
O (0.9442, 0.1662, 0.1152)
O (0.9442, 0.3338, 0.1152)
O (0.9615, 0.1167, 0.5535)
O (0.9615, 0.3833, 0.5535)

Results
The calculated volume comes out at 1319 Å³ per cell. The formation energy from raw total energies is -3.03 eV/atom. The magnetic moment is 0.0 μB per formula unit.

Entry 5:
Density functional theory data (SCAN) for a crystal of K2CrCo relaxed with PBEsol.

abc: 3.1104 3.1104 10.6837
angles: 90.00 90.00 90.00
Sites, in units of the cell vectors:
K (0.0000, 0.0000, 0.2268)
K (0.0000, 0.0000, 0.7732)
Cr (0.5000, 0.5000, 0.5000)
Co (0.5000, 0.5000, 0.0000)

Results
For the formation energy, the calculation gives 114.2 kJ per mole of atoms. The calculated volume comes out at 103 Å³ per cell. For the energy above the most stable polymorph in this dataset, the calculation gives 417 meV per atom. The magnetic moment is 6.9 μB per formula unit.

Entry 6:
Density functional theory data (SCAN) for a crystal of ScZnAs2 relaxed with PBEsol.

abc: 3.5334 3.5330 5.6911
angles: 90.00 90.12 90.00
Sites, in units of the cell vectors:
Sc (0.0000, 0.0000, 0.0000)
Zn (0.0000, 0.0000, 0.5000)
As (0.4989, 0.5000, 0.7623)
As (0.5011, 0.5000, 0.2377)

Results
For the formation energy, the calculation gives -48.2 kJ per mole of atoms. The calculated volume comes out at 71 Å³ per cell. The magnetic moment is 0.0 μB per formula unit.

Entry 7:
Density functional theory data (SCAN) for a crystal of Cr2CuPt relaxed with PBEsol.

abc: 2.9473 2.9473 5.7512
angles: 90.00 90.00 90.00
Sites, in units of the cell vectors:
Cr (0.0000, 0.0000, 0.0000)
Cr (0.5000, 0.5000, 0.2071)
Cu (0.0000, 0.0000, 0.4500)
Pt (0.5000, 0.5000, 0.7141)

Results
For the formation energy, the calculation gives -12.6 kJ per mole of atoms. The calculated volume comes out at 50 Å³ per cell. The magnetic moment is 0.4 μB per formula unit.

Entry 8:
Density functional theory data (SCAN) for a crystal of PmEuPt2 relaxed with PBEsol.

abc: 7.0346 7.0346 7.0346
angles: 90.00 90.00 90.00
Sites, in units of the cell vectors:
Pm (0.0000, 0.0000, 0.0000)
Pm (0.0000, 0.5000, 0.5000)
Pm (0.5000, 0.0000, 0.5000)
Pm (0.5000, 0.5000, 0.0000)
Eu (0.0000, 0.0000, 0.5000)
Eu (0.0000, 0.5000, 0.0000)
Eu (0.5000, 0.0000, 0.0000)
Eu (0.5000, 0.5000, 0.5000)
Pt (0.2500, 0.2500, 0.2500)
Pt (0.2500, 0.2500, 0.7500)
Pt (0.2500, 0.7500, 0.2500)
Pt (0.2500, 0.7500, 0.7500)
Pt (0.7500, 0.2500, 0.2500)
Pt (0.7500, 0.2500, 0.7500)
Pt (0.7500, 0.7500, 0.2500)
Pt (0.7500, 0.7500, 0.7500)

Results
For the formation energy, the calculation gives -112.3 kJ per mole of atoms. The calculated volume comes out at 348 Å³ per cell. The magnetic moment is 7.0 μB per formula unit.

Entry 9:
Density functional theory data (SCAN) for a crystal of YTmRh2 relaxed with PBEsol.

abc: 6.7033 6.7033 6.7033
angles: 90.00 90.00 90.00
Sites, in units of the cell vectors:
Y (0.0000, 0.0000, 0.0000)
Y (0.0000, 0.5000, 0.5000)
Y (0.5000, 0.0000, 0.5000)
Y (0.5000, 0.5000, 0.0000)
Tm (0.0000, 0.0000, 0.5000)
Tm (0.0000, 0.5000, 0.0000)
Tm (0.5000, 0.0000, 0.0000)
Tm (0.5000, 0.5000, 0.5000)
Rh (0.2500, 0.2500, 0.2500)
Rh (0.2500, 0.2500, 0.7500)
Rh (0.2500, 0.7500, 0.2500)
Rh (0.2500, 0.7500, 0.7500)
Rh (0.7500, 0.2500, 0.2500)
Rh (0.7500, 0.2500, 0.7500)
Rh (0.7500, 0.7500, 0.2500)
Rh (0.7500, 0.7500, 0.7500)

Results
For the formation energy, the calculation gives -99.6 kJ per mole of atoms. The calculated volume comes out at 301 Å³ per cell. The magnetic moment is 0.0 μB per formula unit.

Entry 10:
Density functional theory data (SCAN) for a crystal of LaIn2Se relaxed with PBEsol.

abc: 7.3701 7.3701 7.3701
angles: 90.00 90.00 90.00
Sites, in units of the cell vectors:
La (0.0000, 0.0000, 0.0000)
La (0.0000, 0.5000, 0.5000)
La (0.5000, 0.0000, 0.5000)
La (0.5000, 0.5000, 0.0000)
In (0.0000, 0.0000, 0.5000)
In (0.0000, 0.5000, 0.0000)
In (0.2500, 0.2500, 0.2500)
In (0.2500, 0.7500, 0.7500)
In (0.5000, 0.0000, 0.0000)
In (0.5000, 0.5000, 0.5000)
In (0.7500, 0.2500, 0.7500)
In (0.7500, 0.7500, 0.2500)
Se (0.2500, 0.2500, 0.7500)
Se (0.2500, 0.7500, 0.2500)
Se (0.7500, 0.2500, 0.2500)
Se (0.7500, 0.7500, 0.7500)

Results
The calculated volume comes out at 400 Å³ per cell. The formation energy from raw total energies is -0.70 eV/atom. The magnetic moment is 0.0 μB per formula unit.

Entry 11:
Density functional theory data (SCAN) for a crystal of HfTaBr3 relaxed with PBEsol.

abc: 5.1492 5.1492 5.1492
angles: 90.00 90.00 90.00
Sites, in units of the cell vectors:
Hf (0.0000, 0.0000, 0.0000)
Ta (0.5000, 0.5000, 0.5000)
Br (0.0000, 0.0000, 0.5000)
Br (0.0000, 0.5000, 0.0000)
Br (0.5000, 0.0000, 0.0000)

Results
The calculated volume comes out at 137 Å³ per cell. The formation energy from raw total energies is 0.64 eV/atom. The magnetic moment is 4.5 μB per formula unit.

Entry 12:
Density functional theory data (SCAN) for a crystal of H2AuN relaxed with PBEsol.

abc: 4.4283 4.4283 4.4283
angles: 60.00 60.00 60.00
Sites, in units of the cell vectors:
H (0.0000, 0.0000, 0.0000)
H (0.0000, 0.0000, 0.5000)
H (0.0000, 0.5000, 0.0000)
H (0.5000, 0.0000, 0.0000)
Au (0.3750, 0.3750, 0.3750)
Au (0.6250, 0.6250, 0.6250)
N (0.1250, 0.1250, 0.1250)
N (0.8750, 0.8750, 0.8750)

Results
The calculated volume comes out at 61 Å³ per cell. For the energy above the most stable polymorph in this dataset, the calculation gives 0 meV per atom. The magnetic moment is 0.0 μB per formula unit.

- What is the calculated volume in the first record?
  259 Å³ per cell

Copy entry 1 word for word.
Density functional theory data (SCAN) for a crystal of RbSr3Hg relaxed with PBEsol.

abc: 6.3714 6.3714 6.3714
angles: 90.00 90.00 90.00
Sites, in units of the cell vectors:
Rb (0.0000, 0.0000, 0.0000)
Sr (0.0000, 0.5000, 0.5000)
Sr (0.5000, 0.0000, 0.5000)
Sr (0.5000, 0.5000, 0.0000)
Hg (0.5000, 0.5000, 0.5000)

Results
For the formation energy, the calculation gives -22.4 kJ per mole of atoms. The calculated volume comes out at 259 Å³ per cell. For the energy above the most stable polymorph in this dataset, the calculation gives 0 meV per atom. The magnetic moment is 0.0 μB per formula unit.